Density functional theory data (GGA-PBE) for crystalline BeAgGe2 at its relaxed geometry.

a = 4.171 Å, b = 4.171 Å, c = 8.555 Å
α = 75.89°, β = 75.89°, γ = 90.00°
Atoms (fractional coordinates):
Be (0.500, 0.500, 0.000)
Be (0.250, 0.750, 0.500)
Ge (0.578, 0.125, 0.250)
Ge (0.172, 0.625, 0.250)
Ge (0.375, 0.422, 0.750)
Ge (0.875, 0.828, 0.750)
Ag (0.000, 0.000, 0.000)
Ag (0.750, 0.250, 0.500)

Output
Fermi-level density of states, states/eV per cell: 3.3
Crystal system: tetragonal
DFT total energy, eV per atom: -3.611
Formation energy from the elements, eV/f.u.: 1.37
Total moment, μB/cell: 0.00